# 1
{"formula": "CaSc2W", "functional": "PBE", "state": "optimized geometry", "lattice_angstrom": [[4.601, 0.000, 0.000], [0.000, 4.601, 0.000], [0.000, 0.000, 4.224]], "species": ["Ca", "Sc", "Sc", "W"], "fractional_positions": [[0.000, 0.000, 0.000], [0.000, 0.500, 0.500], [0.500, 0.000, 0.500], [0.500, 0.500, 0.000]], "sg": "P4/mmm", "delta_e_f_mev_per_atom": 577, "polymorph_energy_ev_per_atom": 0.297, "crystal_system": "tetragonal"}

=====

# 2
{"formula": "CaScW2", "functional": "PBE", "state": "optimized geometry", "lattice_angstrom": [[-1.716, 2.566, 4.872], [1.716, -2.566, 4.872], [1.716, 2.566, -4.872]], "species": ["Ca", "Sc", "W", "W"], "fractional_positions": [[0.000, 0.000, 0.000], [0.282, 0.782, 0.500], [0.549, 0.549, 0.000], [0.730, 0.230, 0.500]], "sg": "Imm2", "delta_e_f_mev_per_atom": 548, "polymorph_energy_ev_per_atom": 0.208, "crystal_system": "orthorhombic"}

=====

# 3
{"formula": "CaSc2W", "functional": "PBE", "state": "optimized geometry", "lattice_angstrom": [[4.878, -1.510, 0.000], [4.878, 1.510, 0.000], [-0.573, 0.000, 6.242]], "species": ["Ca", "Sc", "Sc", "W"], "fractional_positions": [[0.000, 0.000, 0.000], [0.236, 0.236, 0.705], [0.764, 0.764, 0.295], [0.500, 0.500, 0.500]], "sg": "C2/m", "delta_e_f_mev_per_atom": 432, "polymorph_energy_ev_per_atom": 0.152, "crystal_system": "monoclinic"}

=====

# 4
{"formula": "Ca2ScW", "functional": "PBE", "state": "optimized geometry", "lattice_angstrom": [[3.054, 0.000, 0.000], [0.000, 5.114, 0.000], [0.000, 0.000, 6.279]], "species": ["Ca", "Ca", "Sc", "W"], "fractional_positions": [[0.000, 0.000, 0.232], [0.000, 0.000, 0.768], [0.500, 0.500, 0.500], [0.500, 0.500, 0.000]], "sg": "Pmmm", "delta_e_f_mev_per_atom": 795, "polymorph_energy_ev_per_atom": 0.302, "crystal_system": "orthorhombic"}